This record from the Alexandria database describes an optimized crystal structure of Al2Zn2Te. The functional is PBE.

Computed properties:
D(E_F) = 0.577 states/eV/atom
total moment = 0.0 μB per cell
E_tot = -2.4515 eV/atom
relative energy among the computed polymorphs = 0.0515 eV per atom
energy relative to the elements, uncorrected = 0.18 eV/atom
space-group type = P4/mbm (127)
V = 198.3 Å³ per cell

a = 7.650 Å, b = 7.650 Å, c = 3.387 Å
α = 90.00°, β = 90.00°, γ = 90.00°
Sites, in units of the cell vectors:
Al 0.124 0.376 0.000
Al 0.376 0.876 0.000
Al 0.624 0.124 0.000
Al 0.876 0.624 0.000
Zn 0.174 0.674 0.500
Zn 0.326 0.174 0.500
Zn 0.674 0.826 0.500
Zn 0.826 0.326 0.500
Te 0.000 0.000 0.000
Te 0.500 0.500 0.000